Compound: Ba2Pa3CoO12
Source: Alexandria via LeMat-Bulk
Functional: PBE+U
Structure: relaxed

uncorrected energy = -8.1123 eV per atom
density of states at the Fermi level = 0.87 states/eV per atom
size of the total moment = 0.057 μB/atom

The structure in POSCAR format:
```
Ba2Pa3CoO12
1.0
7.463 -0.266 -0.188
3.455 6.621 -0.188
3.455 2.011 6.311
Ba Pa Co O
2 3 1 12
Cartesian
9.525 5.544 3.933
4.848 2.822 2.002
3.732 -0.133 -0.094
1.727 3.310 -0.094
1.727 1.006 3.155
0.000 0.000 0.000
7.016 4.084 5.955
11.290 6.572 1.437
8.644 8.074 5.727
9.526 2.658 1.886
11.290 3.529 5.727
7.016 6.971 1.886
7.357 4.282 -0.021
3.083 1.795 4.497
5.729 0.292 0.207
4.847 5.708 4.049
3.083 4.838 0.207
7.357 1.396 4.049
```